No. 1
La2In5Pd4 (PBE, optimized geometry); density = 8.286 g cm⁻³; formation enthalpy at 0 K = -586 meV/atom; raw total energy = -4.615 eV/atom
1.0
-5.283 -2.257 1.385
-3.004 -3.072 -3.856
1.220 -8.440 3.510
La In Pd
2 5 4
direct
0.873 0.000 0.253
0.127 0.000 0.747
0.500 0.000 0.000
0.000 0.500 0.000
0.500 0.500 0.000
0.250 0.500 0.500
0.750 0.500 0.500
0.477 0.309 0.737
0.523 0.691 0.263
0.214 0.309 0.263
0.786 0.691 0.737


No. 2
La12InPd5 (PBE, optimized geometry); density = 6.953 g cm⁻³; formation enthalpy at 0 K = -516 meV/atom; raw total energy = -5.395 eV/atom
1.0
-5.129 7.349 0.292
1.680 -2.226 -8.522
-3.957 -7.187 3.618
La In Pd
12 1 5
direct
0.532 0.823 0.710
0.468 0.177 0.290
0.887 0.177 0.710
0.113 0.823 0.290
0.697 0.673 0.369
0.303 0.327 0.631
0.303 0.673 0.976
0.697 0.327 0.024
0.814 0.593 0.779
0.186 0.407 0.221
0.186 0.964 0.779
0.814 0.036 0.221
0.000 0.500 0.500
0.647 0.647 0.000
0.353 0.353 0.000
0.500 0.132 0.632
0.500 0.868 0.368
0.000 0.000 0.000


No. 3
LaIn6Pd3 (PBE, optimized geometry); density = 8.502 g cm⁻³; formation enthalpy at 0 K = -464 meV/atom; raw total energy = -4.158 eV/atom
1.0
-2.402 -1.679 3.612
-1.172 -8.061 -4.527
8.557 -4.971 3.380
La In Pd
2 12 6
direct
0.750 0.077 0.743
0.250 0.923 0.257
0.750 0.381 0.510
0.250 0.619 0.490
0.750 0.849 0.036
0.250 0.151 0.964
0.750 0.446 0.095
0.250 0.554 0.905
0.750 0.647 0.298
0.250 0.353 0.702
0.750 0.100 0.392
0.250 0.900 0.608
0.750 0.708 0.763
0.250 0.292 0.237
0.750 0.393 0.845
0.250 0.607 0.155
0.750 0.811 0.498
0.250 0.189 0.502
0.750 0.144 0.113
0.250 0.856 0.887


No. 4
La2InPd (PBE, optimized geometry); density = 7.045 g cm⁻³; formation enthalpy at 0 K = -386 meV/atom; raw total energy = -4.832 eV/atom
1.0
-3.239 -4.542 -6.407
6.971 -4.855 -0.082
0.478 -6.728 -1.105
In Pd La
2 2 4
direct
0.000 0.000 0.000
0.750 0.250 0.500
0.500 0.500 0.000
0.250 0.750 0.500
0.575 0.125 0.250
0.175 0.625 0.250
0.375 0.425 0.750
0.875 0.825 0.750


No. 5
LaIn8Pd4 (PBE, optimized geometry); density = 8.914 g cm⁻³; formation enthalpy at 0 K = -454 meV/atom; raw total energy = -4.116 eV/atom
1.0
-2.045 -2.735 -4.762
5.413 -2.538 -4.472
-0.998 -7.326 1.030
La In Pd
1 8 4
direct
0.000 0.000 0.000
0.000 0.340 0.660
0.000 0.660 0.340
0.340 0.660 0.660
0.660 0.340 0.340
0.500 0.779 0.221
0.500 0.221 0.779
0.279 0.221 0.221
0.721 0.779 0.779
0.000 0.000 0.500
0.500 0.000 0.500
0.000 0.500 0.000
0.500 0.500 0.000


No. 6
LaIn2Pd3 (PBE, optimized geometry); density = 9.108 g cm⁻³; formation enthalpy at 0 K = -699 meV/atom; raw total energy = -5.030 eV/atom
1.0
4.692 0.000 0.000
-2.346 4.064 0.000
0.000 0.000 13.154
La In Pd
2 4 6
direct
0.000 0.000 0.250
0.000 0.000 0.750
0.667 0.333 0.421
0.333 0.667 0.579
0.333 0.667 0.921
0.667 0.333 0.079
0.000 0.000 0.500
0.000 0.000 0.000
0.667 0.333 0.633
0.333 0.667 0.133
0.667 0.333 0.867
0.333 0.667 0.367